This record from Alexandria via LeMat-Bulk describes a geometry-optimized Sc2NbCr structure. The functional is PBE.

## Properties
- polymorph energy (0 for the lowest one) (meV/atom) = 328
- ΔE_f (eV per atom) = 0.626
- crystal system = tetragonal

abc: 7.4957 7.4957 5.7023
angles: 90.00 90.00 90.00
Space group I-42d (No. 122)
One atom of each set of equivalent atoms:
Sc: 0.2231 0.2500 0.1250 [8 per cell]
Nb: 0.0000 0.0000 0.5000 [4 per cell]
Cr: 0.0000 0.0000 0.0000 [4 per cell]


This record from Alexandria via LeMat-Bulk describes a geometry-optimized ScZnGe2N structure. The functional is PBE.

## Properties
- E_form (uncorrected) (meV per atom) = 1278
- crystal system = tetragonal

abc: 4.4982 4.4982 5.2082
angles: 90.00 90.00 90.00
Space group P4/mmm (No. 123)
One atom of each set of equivalent atoms:
Sc: 0.0000 0.0000 0.0000 [1 per cell]
Zn: 0.0000 0.0000 0.5000 [1 per cell]
Ge: 0.0000 0.5000 0.5000 [2 per cell]
N: 0.5000 0.5000 0.0000 [1 per cell]


This record from Alexandria via LeMat-Bulk describes a geometry-optimized PrNd4Tm7 structure. The functional is PBE.

## Properties
- polymorph energy (0 for the lowest one) (meV/atom) = 243
- ΔE_f (eV per atom) = 0.257
- crystal system = monoclinic

abc: 12.1465 5.8789 12.7390
angles: 90.00 117.83 90.00
Space group C2/m (No. 12)
One atom of each set of equivalent atoms:
Pr: 0.0000 0.0000 0.0000 [2 per cell]
Nd: 0.1348 0.5000 0.7769 [4 per cell]
Nd: 0.2259 0.0000 0.6677 [4 per cell]
Tm: 0.0000 0.5000 0.0000 [2 per cell]
Tm: 0.0683 0.0000 0.3170 [4 per cell]
Tm: 0.1328 0.5000 0.4963 [4 per cell]
Tm: 0.2108 0.0000 0.9232 [4 per cell]


This record from Alexandria via LeMat-Bulk describes a geometry-optimized SrHfPtI2 structure. The functional is PBE.

## Properties
- E_form (uncorrected) (meV per atom) = -387
- crystal system = tetragonal

abc: 5.6411 5.6411 5.1435
angles: 90.00 90.00 90.00
Space group P4/mmm (No. 123)
One atom of each set of equivalent atoms:
Sr: 0.0000 0.0000 0.0000 [1 per cell]
Hf: 0.5000 0.5000 0.5000 [1 per cell]
Pt: 0.5000 0.5000 0.0000 [1 per cell]
I: 0.0000 0.5000 0.5000 [2 per cell]


This record from Alexandria via LeMat-Bulk describes a geometry-optimized ScNb2PtW structure. The functional is PBE.

## Properties
- polymorph energy (0 for the lowest one) (meV/atom) = 678
- ΔE_f (eV per atom) = 1.780
- crystal system = tetragonal

abc: 4.6429 4.6429 4.5614
angles: 90.00 90.00 90.00
Space group P4/mmm (No. 123)
One atom of each set of equivalent atoms:
Sc: 0.0000 0.0000 0.0000 [1 per cell]
Nb: 0.0000 0.5000 0.0000 [2 per cell]
Pt: 0.5000 0.5000 0.5000 [1 per cell]
W: 0.0000 0.0000 0.5000 [1 per cell]


This record from Alexandria via LeMat-Bulk describes a geometry-optimized ErTlSb2 structure. The functional is PBE.

## Properties
- polymorph energy (0 for the lowest one) (meV/atom) = 101
- E_form (uncorrected) (meV per atom) = -351
- crystal system = tetragonal

abc: 5.0136 5.0136 4.3300
angles: 90.00 90.00 90.00
Space group P4/mmm (No. 123)
One atom of each set of equivalent atoms:
Er: 0.0000 0.0000 0.0000 [1 per cell]
Tl: 0.5000 0.5000 0.0000 [1 per cell]
Sb: 0.0000 0.5000 0.5000 [2 per cell]


This record from Alexandria via LeMat-Bulk describes a geometry-optimized CrRh2Se structure. The functional is PBE.

## Properties
- E_form (uncorrected) (meV per atom) = 65
- crystal system = tetragonal

abc: 3.9458 3.9458 3.7699
angles: 90.00 90.00 90.00
Space group P4/mmm (No. 123)
One atom of each set of equivalent atoms:
Cr: 0.0000 0.0000 0.0000 [1 per cell]
Rh: 0.0000 0.5000 0.5000 [2 per cell]
Se: 0.5000 0.5000 0.0000 [1 per cell]


This record from Alexandria via LeMat-Bulk describes a geometry-optimized CaIn2Pd2 structure. The functional is PBE.

## Properties
- ΔE_f (eV per atom) = -0.601
- crystal system = monoclinic

abc: 5.3269 4.7454 9.0344
angles: 90.00 104.00 90.00
Space group P2_1/m (No. 11)
One atom of each set of equivalent atoms:
Ca: 0.1861 0.2500 0.2638 [2 per cell]
In: 0.2316 0.2500 0.6298 [2 per cell]
In: 0.3582 0.7500 0.0384 [2 per cell]
Pd: 0.1153 0.2500 0.9135 [2 per cell]
Pd: 0.3139 0.7500 0.4761 [2 per cell]


This record from Alexandria via LeMat-Bulk describes a geometry-optimized NiSI3 structure. The functional is PBE.

## Properties
- polymorph energy (0 for the lowest one) (meV/atom) = 274
- E_form (uncorrected) (meV per atom) = 864
- crystal system = cubic

abc: 5.5183 5.5183 5.5183
angles: 90.00 90.00 90.00
Space group Pm-3m (No. 221)
One atom of each set of equivalent atoms:
Ni: 0.0000 0.0000 0.0000 [1 per cell]
S: 0.5000 0.5000 0.5000 [1 per cell]
I: 0.0000 0.5000 0.5000 [3 per cell]


This record from Alexandria via LeMat-Bulk describes a geometry-optimized SmZnGa3Ir structure. The functional is PBE.

## Properties
- ΔE_f (eV per atom) = -0.227
- crystal system = orthorhombic

abc: 6.4552 11.8390 6.2243
angles: 90.00 90.00 90.00
Space group Cmcm (No. 63)
One atom of each set of equivalent atoms:
Sm: 0.0000 0.2093 0.2500 [4 per cell]
Zn: 0.0000 0.4504 0.2500 [4 per cell]
Ga: 0.0000 0.3340 0.7500 [4 per cell]
Ga: 0.2050 0.0000 0.0000 [8 per cell]
Ir: 0.0000 0.1282 0.7500 [4 per cell]


This record from Alexandria via LeMat-Bulk describes a geometry-optimized GdY2Tm structure. The functional is PBE.

## Properties
- polymorph energy (0 for the lowest one) (meV/atom) = 90
- ΔE_f (eV per atom) = 0.117
- crystal system = cubic

abc: 8.0255 8.0255 8.0255
angles: 90.00 90.00 90.00
Space group Fm-3m (No. 225)
One atom of each set of equivalent atoms:
Gd: 0.0000 0.0000 0.0000 [4 per cell]
Y: 0.2500 0.2500 0.2500 [8 per cell]
Tm: 0.0000 0.0000 0.5000 [4 per cell]


This record from Alexandria via LeMat-Bulk describes a geometry-optimized Cr2FeCo structure. The functional is PBE.

## Properties
- ΔE_f (eV per atom) = 0.105
- crystal system = monoclinic

abc: 2.4260 3.9994 4.7287
angles: 90.00 98.95 90.00
Space group Pm (No. 6)
One atom of each set of equivalent atoms:
Cr: 0.0000 0.0000 0.0000 [1 per cell]
Cr: 0.2087 0.5000 0.7479 [1 per cell]
Fe: 0.7424 0.5000 0.2514 [1 per cell]
Co: 0.4904 0.0000 0.4975 [1 per cell]